Computed, not measured: LaZnNO after structural relaxation at the PBE level of DFT.

```
LaZnNO
1.0
-3.430 1.797 -3.750
-2.544 -5.060 -0.097
-4.963 2.386 5.684
La N O Zn
4 4 4 4
direct
0.010 0.519 0.840 La
0.010 0.019 0.160 La
0.510 0.981 0.840 La
0.510 0.481 0.160 La
0.534 0.544 0.860 N
0.534 0.044 0.140 N
0.034 0.456 0.140 N
0.034 0.956 0.860 N
0.651 0.630 0.424 O
0.151 0.870 0.424 O
0.651 0.130 0.576 O
0.151 0.370 0.576 O
0.008 0.541 0.385 Zn
0.508 0.459 0.615 Zn
0.508 0.959 0.385 Zn
0.008 0.041 0.615 Zn
```

Electronic total energy: -6.339 eV/atom

=====

Computed, not measured: KBaLuSe3 after structural relaxation at the PBE level of DFT.

```
KBaLuSe3
1.0
-6.871 5.516 6.495
4.588 -3.298 -9.375
-8.038 -9.187 -0.701
Se Ba Lu K
6 2 2 2
direct
0.588 0.412 0.501 Se
0.002 0.998 0.250 Se
0.998 0.002 0.750 Se
0.412 0.588 0.001 Se
0.412 0.588 0.499 Se
0.588 0.412 0.999 Se
0.395 0.605 0.750 Ba
0.605 0.395 0.250 Ba
0.000 0.000 0.000 Lu
0.000 0.000 0.500 Lu
0.610 0.390 0.750 K
0.390 0.610 0.250 K
```

Electronic total energy: -4.530 eV/atom

=====

Computed, not measured: Y4FeBiC2 after structural relaxation at the PBE level of DFT.

```
Y4FeBiC2
1.0
-0.668 1.787 -3.095
2.120 -2.953 -0.027
-12.022 -8.607 -2.376
C Bi Y Fe
2 1 4 1
direct
0.333 0.667 0.764 C
0.333 0.667 0.236 C
0.667 0.333 0.500 Bi
0.667 0.333 0.859 Y
0.667 0.333 0.141 Y
0.000 0.000 0.679 Y
0.000 0.000 0.321 Y
0.000 0.000 0.000 Fe
```

Electronic total energy: -7.301 eV/atom